Computed, not measured: a geometry-optimized LaHgIr structure at the GGA-PBEsol level of DFT.

Results
As for the crystal system: hexagonal. Its density of states at the Fermi level is 2.2 states/eV/cell. Its final energy is -16.6 eV/cell.

Unit cell a=3.6064 b=4.6894 c=4.6894 alpha=120.00 beta=90.00 gamma=90.00
Last column: nearest neighbours and their distance in Å.
Element x y z (fractional)
Hg 0.8334 0.0000 0.0000  3 Ir 2.71
Ir 0.8332 0.3333 0.6667  3 Hg 2.71
La 0.3334 0.6667 0.3333  6 Ir 3.25, 6 Hg 3.25, 2 La 3.61



Computed, not measured: a geometry-optimized YZnSe2 structure at the GGA-PBEsol level of DFT.

Results
As for the crystal system: orthorhombic. Its density of states at the Fermi level is 1.0 states/eV/cell. Its final energy is -20.5 eV/cell.

Unit cell a=3.7056 b=3.7881 c=6.8813 alpha=105.98 beta=105.62 gamma=90.00
Last column: nearest neighbours and their distance in Å.
Element x y z (fractional)
Se 0.9718 0.9718 0.9436  4 Y 2.84
Se 0.2290 0.7290 0.4580  4 Zn 2.66, 2 Y 2.91
Y 0.5519 0.5519 0.1039  6 Se 2.84-2.91, 2 Zn 3.12
Zn 0.7473 0.2473 0.4946  4 Se 2.66



Computed, not measured: a geometry-optimized CrTe3 structure at the GGA-PBEsol level of DFT.

Results
As for the crystal system: hexagonal. Its density of states at the Fermi level is 2.7 states/eV/cell. Its final energy is -20.6 eV/cell.

Unit cell a=3.3711 b=3.3711 c=9.7629 alpha=90.00 beta=90.00 gamma=120.00
Last column: nearest neighbours and their distance in Å.
Element x y z (fractional)
Cr 0.0000 0.0000 0.0000  6 Te 2.59
Te 0.0000 0.0000 0.5000  12 Te 3.37-3.72
Te 0.3333 0.6667 0.8248  3 Cr 2.59
Te 0.3333 0.6667 0.1752  3 Cr 2.59



Computed, not measured: a geometry-optimized SnAs2H structure at the GGA-PBEsol level of DFT.

Results
As for the crystal system: cubic. Its density of states at the Fermi level is 2.3 states/eV/cell. Its final energy is -15.3 eV/cell.

Unit cell a=4.6201 b=4.6201 c=4.6201 alpha=60.00 beta=60.00 gamma=60.00
Last column: nearest neighbours and their distance in Å.
Element x y z (fractional)
H 0.0000 0.0000 0.0000  8 As 2.83
As 0.2500 0.2500 0.2500  4 Sn 2.83, 4 H 2.83
As 0.7500 0.7500 0.7500  4 Sn 2.83, 4 H 2.83
Sn 0.5000 0.5000 0.5000  8 As 2.83



Computed, not measured: a geometry-optimized Nb3CdF structure at the GGA-PBEsol level of DFT.

Results
The energy above the most stable polymorph in this dataset comes out at 2163 meV per atom. As for the crystal system: cubic. Its density of states at the Fermi level is 8.2 states/eV/cell. Its final energy is -24.9 eV/cell.

Unit cell a=5.0034 b=5.0034 c=5.0034 alpha=90.00 beta=90.00 gamma=90.00
Last column: nearest neighbours and their distance in Å.
Element x y z (fractional)
Nb 0.0000 0.5000 0.0000  2 Cd 2.50
Nb 0.0000 0.0000 0.5000  2 Cd 2.50
Nb 0.5000 0.0000 0.0000  2 Cd 2.50
F 0.5000 0.5000 0.5000  12 Nb 3.54
Cd 0.0000 0.0000 0.0000  6 Nb 2.50



Computed, not measured: a geometry-optimized TaCoAg structure at the GGA-PBEsol level of DFT.

Results
As for the crystal system: tetragonal. Its density of states at the Fermi level is 3.3 states/eV/cell. Its final energy is -23.1 eV/cell.

Unit cell a=2.8947 b=2.8947 c=5.6630 alpha=104.81 beta=104.81 gamma=90.00
Last column: nearest neighbours and their distance in Å.
Element x y z (fractional)
Co 0.6765 0.6765 0.3531  4 Ta 2.50, 4 Ag 2.69
Ag 0.0107 0.0107 0.0213  4 Co 2.69, 4 Ag 2.89, 4 Ta 2.92
Ta 0.3128 0.3128 0.6256  4 Co 2.50